Record 1
Gd5P12Ru19: relaxed, PBE.

Calculated values
* V: 545 Å³/f.u.
* formation energy from the elements: -30.8 eV/f.u.

```
Gd5P12Ru19
1.0
12.562 0.000 0.000
-6.281 10.879 0.000
0.000 0.000 3.989
Gd P Ru
5 12 19
Cartesian
-1.151 1.994 0.000
2.302 0.000 0.000
0.000 7.253 1.994
6.281 3.626 1.994
5.130 8.886 0.000
-2.346 4.064 1.994
-5.117 8.863 1.994
-2.208 7.552 0.000
1.164 2.016 1.994
0.844 5.191 0.000
4.693 0.000 1.994
4.074 3.327 0.000
1.363 9.015 0.000
3.935 6.815 1.994
7.644 1.864 0.000
10.234 0.000 1.994
7.126 5.688 0.000
0.000 0.000 1.994
-3.484 6.035 1.994
-4.500 7.793 0.000
-1.514 5.352 0.000
-2.750 8.786 1.994
0.048 4.105 1.994
1.782 3.086 0.000
-0.890 9.514 0.000
3.531 2.094 1.994
2.797 4.844 1.994
5.392 1.365 0.000
2.403 6.893 0.000
6.969 0.000 1.994
2.702 8.868 1.994
4.767 5.528 0.000
8.999 0.000 0.000
8.984 2.011 1.994
6.329 6.774 1.994
8.685 3.987 0.000
```



Record 2
GdPS2: relaxed, PBE.

Calculated values
* formation energy (no corrections): -19.20 kJ/mol of atoms
* V: 90 Å³/f.u.

```
GdPS2
1.0
3.578 0.000 0.000
-1.789 3.099 0.000
0.000 0.000 24.364
Gd P S
3 3 6
Cartesian
0.000 0.000 0.000
0.000 2.066 16.243
1.789 1.033 8.121
0.000 0.000 12.182
0.000 2.066 4.061
1.789 1.033 20.304
0.000 0.000 2.725
0.000 0.000 21.640
0.000 2.066 13.518
0.000 2.066 18.967
1.789 1.033 5.397
1.789 1.033 10.846
```



Record 3
Gd2PS: relaxed, PBE.

Calculated values
* formation energy (no corrections): -181.87 kJ/mol of atoms
* V: 91 Å³/f.u.

```
Gd2PS
1.0
4.014 0.000 0.000
-2.007 3.476 0.000
0.000 0.000 19.660
Gd P S
6 3 3
Cartesian
0.000 0.000 4.872
0.000 0.000 14.788
0.000 2.317 8.234
0.000 2.317 17.979
2.007 1.159 1.681
2.007 1.159 11.426
0.000 0.000 9.830
0.000 2.317 3.277
2.007 1.159 16.384
0.000 0.000 0.000
0.000 2.317 13.107
2.007 1.159 6.553
```



The highest V belongs to which entry? Gd5P12Ru19